Density functional theory data (PBE) for an optimized crystal structure of YEr4Th4.

a b c (Å): 5.034 7.932 7.932
angles (deg): 84.22 71.50 71.50
Fractional positions:
Y  0.000  0.000  0.000
Er  0.669  0.331  0.331
Er  0.331  0.669  0.669
Er  0.000  0.669  0.331
Er  0.000  0.331  0.669
Th  0.667  0.666  0.000
Th  0.333  0.334  0.000
Th  0.667  0.000  0.666
Th  0.333  0.000  0.334

Values from the calculation:
Volume ... 31.65 Å³/atom
ΔH_f (0 K) ... 0.04 eV per atom
D(E_F) ... 1.6086 states/eV per atom
Magnetic moment ... 0.000 μB per atom